The following is a DFT calculation (PBE) of a relaxed KY2Cr crystal.

Structure (POSCAR):
```
KY2Cr
1.0
-0.5172 1.2348 3.7446
-5.1581 -1.9457 -0.0709
1.8101 -4.8662 1.8547
Cr K Y
1 1 2
direct
0.5000 0.5000 0.0000
0.5000 0.0000 0.5000
0.0000 0.0000 0.0000
0.0000 0.5000 0.5000
```

Results
raw total energy = -5.103 eV per atom
energy of formation = 3.2 eV per formula unit
M_tot = 1.017 μB/atom
calculated volume = 120.9 Å³ per cell